[1]
# CaPPt6, relaxed, DFT GGA-PBE
data_CaPPt6
_cell_length_a 5.6162
_cell_length_b 5.6162
_cell_length_c 16.9850
_cell_angle_alpha 90.00
_cell_angle_beta 90.00
_cell_angle_gamma 120.00
_space_group_name_H-M_alt 'R -3 m'
_space_group_IT_number 166
_space_group_name_Hall '-R 3 2"'
loop_
_atom_site_label
_atom_site_type_symbol
_atom_site_fract_x
_atom_site_fract_y
_atom_site_fract_z
Ca1 Ca 0.0000 0.0000 0.0000
P1 P 0.0000 0.0000 0.5000
Pt1 Pt 0.0149 0.5075 0.9210
# Spin magnetization (Bohr magnetons per cell): 0.00
# Density of states at the Fermi level (states/eV/f.u.): 4.349
# DFT total energy (eV/atom): -5.864

[2]
# Ca2PPt, relaxed, DFT GGA-PBE
data_Ca2PPt
_cell_length_a 3.337
_cell_length_b 4.821
_cell_length_c 5.854
_cell_angle_alpha 90.00
_cell_angle_beta 90.00
_cell_angle_gamma 90.00
_space_group_name_H-M_alt 'P m m 2'
_space_group_IT_number 25
_space_group_name_Hall 'P 2 -2'
loop_
_atom_site_label
_atom_site_type_symbol
_atom_site_fract_x
_atom_site_fract_y
_atom_site_fract_z
Ca1 Ca 0.000 0.000 0.000
Ca2 Ca 0.500 0.500 0.499
P1 P 0.500 0.500 0.999
Pt1 Pt 0.000 0.000 0.500
# Spin magnetization (Bohr magnetons per cell): 0.00
# Density of states at the Fermi level (states/eV/f.u.): 1.065
# DFT total energy (eV/atom): -4.559

[3]
# CaP2Pt, relaxed, DFT GGA-PBE
data_CaP2Pt
_cell_length_a 10.115
_cell_length_b 4.046
_cell_length_c 4.376
_cell_angle_alpha 90.00
_cell_angle_beta 100.71
_cell_angle_gamma 90.00
_space_group_name_H-M_alt 'C 1 m 1'
_space_group_IT_number 8
_space_group_name_Hall 'C -2y'
loop_
_atom_site_label
_atom_site_type_symbol
_atom_site_fract_x
_atom_site_fract_y
_atom_site_fract_z
Ca1 Ca 0.000 0.000 0.000
P1 P 0.199 0.000 0.574
P2 P 0.413 0.000 0.505
Pt1 Pt 0.275 0.500 0.396
# Spin magnetization (Bohr magnetons per cell): 0.00
# Density of states at the Fermi level (states/eV/f.u.): 0.818
# DFT total energy (eV/atom): -5.316

[4]
# CaPuP2Pt4, relaxed, DFT GGA-PBE
data_CaPuP2Pt4
_cell_length_a 4.070
_cell_length_b 4.070
_cell_length_c 9.246
_cell_angle_alpha 90.00
_cell_angle_beta 90.00
_cell_angle_gamma 90.00
_space_group_name_H-M_alt 'P 4/m m m'
_space_group_IT_number 123
_space_group_name_Hall '-P 4 2'
loop_
_atom_site_label
_atom_site_type_symbol
_atom_site_fract_x
_atom_site_fract_y
_atom_site_fract_z
Ca1 Ca 0.000 0.000 0.000
Pu1 Pu 0.000 0.000 0.500
P1 P 0.500 0.500 0.122
Pt1 Pt 0.000 0.500 0.262
# Spin magnetization (Bohr magnetons per cell): 5.01
# Density of states at the Fermi level (states/eV/f.u.): 16.411
# DFT total energy (eV/atom): -7.112

Q: Which value of density of states at the Fermi level does entry 1 give?
A: 4.349 states/eV/f.u.